A relaxed MnSe crystal, computed with GGA-PBE.

Structure (POSCAR):
```
MnSe
1.0
3.768 0.050 0.035
1.837 3.291 0.035
1.837 1.095 3.103
Se Mn
1 1
direct
0.750 0.750 0.750 Se
0.000 0.000 0.000 Mn
```

## Properties
E_form (uncorrected) = 0.16 eV per atom
symmetry = F-43m